1.
An optimized crystal structure of NaTcAg3, computed with PBE.

* formation energy: 98.6 kJ/mol of atoms
* space-group type: Pm-3m (221)
* relative energy among the computed polymorphs: 0.0 meV/atom
* density of states at the Fermi level: 3.32 states/eV per cell

Geometry as POSCAR:
```
NaTcAg3
1.0
5.217 0.000 0.000
0.000 5.217 0.000
0.000 0.000 5.217
Na Tc Ag
1 1 3
Direct
0.000 0.000 0.000
0.500 0.500 0.500
0.000 0.500 0.500
0.500 0.000 0.500
0.500 0.500 0.000
```

2.
An optimized crystal structure of Ba2AlGa4Au3, computed with PBE.

* formation energy: -50.9 kJ/mol of atoms
* space-group type: P-4m2 (115)
* density of states at the Fermi level: 6.57 states/eV per cell

Geometry as POSCAR:
```
Ba2AlGa4Au3
1.0
4.607 0.000 0.000
0.000 4.607 0.000
0.000 0.000 11.017
Ba Al Ga Au
2 1 4 3
Direct
0.000 0.500 0.248
0.500 0.000 0.752
0.000 0.000 0.500
0.000 0.000 0.000
0.000 0.500 0.631
0.500 0.000 0.369
0.500 0.500 0.000
0.000 0.500 0.875
0.500 0.000 0.125
0.500 0.500 0.500
```

3.
An optimized crystal structure of Ca2AlOs, computed with PBE.

* formation energy: 5.1 kJ/mol of atoms
* space-group type: Amm2 (38)
* density of states at the Fermi level: 3.66 states/eV per cell

Geometry as POSCAR:
```
Ca2AlOs
1.0
4.203 0.000 0.000
0.000 2.219 5.437
0.000 -2.219 5.437
Ca Al Os
2 1 1
Direct
0.000 0.000 0.000
0.500 0.282 0.282
0.500 0.585 0.585
0.000 0.696 0.696
```

4.
An optimized crystal structure of K4P, computed with PBE.

* formation energy: 35.1 kJ/mol of atoms
* space-group type: I4/mmm (139)
* relative energy among the computed polymorphs: 450.3 meV/atom
* density of states at the Fermi level: 3.61 states/eV per cell

Geometry as POSCAR:
```
K4P
1.0
-2.464 2.464 11.059
2.464 -2.464 11.059
2.464 2.464 -11.059
K P
4 1
Direct
0.072 0.072 0.000
0.250 0.750 0.500
0.750 0.250 0.500
0.928 0.928 0.000
0.500 0.500 0.000
```

5.
An optimized crystal structure of YHf2Ge, computed with PBE.

* formation energy: 9.9 kJ/mol of atoms
* space-group type: I-42d (122)
* density of states at the Fermi level: 15.62 states/eV per cell

Geometry as POSCAR:
```
YHf2Ge
1.0
-4.099 4.099 2.897
4.099 -4.099 2.897
4.099 4.099 -2.897
Y Hf Ge
2 4 2
Direct
0.000 0.000 0.000
0.750 0.250 0.500
0.179 0.125 0.554
0.375 0.821 0.946
0.571 0.625 0.446
0.875 0.429 0.054
0.250 0.750 0.500
0.500 0.500 0.000
```

6.
An optimized crystal structure of La2FeSi, computed with PBE.

* formation energy without anion corrections: -0.08 eV/atom
* space-group type: P4mm (99)
* density of states at the Fermi level: 4.77 states/eV per cell

Geometry as POSCAR:
```
La2FeSi
1.0
3.286 0.000 0.000
0.000 3.286 0.000
0.000 0.000 8.626
La Fe Si
2 1 1
Direct
0.000 0.000 0.000
0.500 0.500 0.410
0.500 0.500 0.754
0.000 0.000 0.653
```

| no. | magnetization (Bohr magnetons per cell) |
| --- | --- |
| 1 | 3.0 |
| 2 | 0.0 |
| 3 | 0.0 |
| 4 | 0.9 |
| 5 | 0.0 |
| 6 | 1.6 |